<w>
SrReTe2: optimized geometry, PBE-GGA.

## Properties
* DOS at the Fermi energy: 7.529 states/eV per cell

Cell: 8.0814 8.0814 8.0814 Å, 131.18 131.18 71.53°
Positions (direct):
Sr1 0.0000 0.0000 0.0000
Sr2 0.7500 0.2500 0.5000
Re1 0.2500 0.7500 0.5000
Re2 0.5000 0.5000 0.0000
Te1 0.2087 0.6250 0.0837
Te2 0.3750 0.4587 0.5837
Te3 0.5413 0.1250 0.9163
Te4 0.8750 0.7913 0.4163


<x>
SrReTe2: optimized geometry, PBE-GGA.

## Properties
* DOS at the Fermi energy: 2.755 states/eV per cell

Cell: 7.7118 7.7118 7.7118 Å, 153.89 148.46 41.39°
Positions (direct):
Sr1 0.0000 0.0000 0.0000
Re1 0.7686 0.2686 0.5000
Te1 0.3300 0.8300 0.5000
Te2 0.6246 0.6246 0.0000


<y>
SrReTe2: optimized geometry, PBE-GGA.

## Properties
* DOS at the Fermi energy: 3.255 states/eV per cell

Cell: 3.4397 4.2560 7.1104 Å, 90.00 90.00 90.00°
Positions (direct):
Sr1 0.0000 0.0000 0.0000
Re1 0.5000 0.5000 0.6409
Te1 0.0000 0.0000 0.5488
Te2 0.5000 0.5000 0.2518


<z>
SrReTe2: optimized geometry, PBE-GGA.

## Properties
* DOS at the Fermi energy: 2.388 states/eV per cell

Cell: 5.1271 5.1271 5.1271 Å, 60.00 60.00 60.00°
Positions (direct):
Sr1 0.0000 0.0000 0.0000
Re1 0.5000 0.5000 0.5000
Te1 0.2500 0.2500 0.2500
Te2 0.7500 0.7500 0.7500


Which of them is the least stable? Correct choice: <z>.


<w>
SrReTe2: optimized geometry, PBE-GGA.

## Properties
* DOS at the Fermi energy: 4.207 states/eV per cell

Cell: 5.3810 5.3810 5.3810 Å, 60.00 60.00 60.00°
Positions (direct):
Sr1 0.0000 0.0000 0.0000
Re1 0.7500 0.7500 0.7500
Te1 0.2500 0.2500 0.2500
Te2 0.5000 0.5000 0.5000


<x>
SrReTe2: optimized geometry, PBE-GGA.

## Properties
* DOS at the Fermi energy: 3.766 states/eV per cell

Cell: 3.5353 3.5353 7.8798 Å, 90.00 90.00 99.05°
Positions (direct):
Sr1 0.0000 0.0000 0.0000
Re1 0.0000 0.0000 0.5000
Te1 0.5000 0.5000 0.2945
Te2 0.5000 0.5000 0.7055


Which of them is the least stable? Correct choice: <w>.


<w>
Sr2ReTe2: optimized geometry, PBE-GGA.

## Properties
* DOS at the Fermi energy: 5.186 states/eV per cell

Cell: 9.6341 9.6341 9.6341 Å, 153.93 153.93 37.21°
Positions (direct):
Sr1 0.1010 0.1010 0.0000
Sr2 0.8990 0.8990 0.0000
Re1 0.5000 0.5000 0.0000
Te1 0.2500 0.7500 0.5000
Te2 0.7500 0.2500 0.5000


<x>
Sr2ReTe2: optimized geometry, PBE-GGA.

## Properties
* DOS at the Fermi energy: 2.847 states/eV per cell

Cell: 8.9728 8.9728 4.2660 Å, 90.00 90.00 90.00°
Positions (direct):
Sr1 0.1473 0.3527 0.0000
Sr2 0.3527 0.8527 0.0000
Sr3 0.6473 0.1473 0.0000
Sr4 0.8527 0.6473 0.0000
Re1 0.0000 0.0000 0.0000
Re2 0.5000 0.5000 0.0000
Te1 0.1576 0.6576 0.5000
Te2 0.3424 0.1576 0.5000
Te3 0.6576 0.8424 0.5000
Te4 0.8424 0.3424 0.5000


Which of them is the least stable? Correct choice: <w>.


<w>
SrTiRe2: optimized geometry, PBE-GGA.

## Properties
* DOS at the Fermi energy: 11.019 states/eV per cell

Cell: 9.3793 9.3793 9.3793 Å, 149.59 149.59 43.54°
Positions (direct):
Sr1 0.3750 0.6250 0.7500
Sr2 0.6250 0.3750 0.2500
Ti1 0.1250 0.8750 0.2500
Ti2 0.8750 0.1250 0.7500
Re1 0.0000 0.0000 0.0000
Re2 0.0000 0.0000 0.5000
Re3 0.0000 0.5000 0.0000
Re4 0.5000 0.0000 0.5000


<x>
SrTiRe2: optimized geometry, PBE-GGA.

## Properties
* DOS at the Fermi energy: 4.209 states/eV per cell

Cell: 4.6847 4.6847 4.6847 Å, 60.00 60.00 60.00°
Positions (direct):
Sr1 0.0000 0.0000 0.0000
Ti1 0.5000 0.5000 0.5000
Re1 0.2500 0.2500 0.2500
Re2 0.7500 0.7500 0.7500


Which of them is the least stable? Correct choice: <w>.